Material: BeCuNiGe
Method: DFT, PBE
State: optimized geometry

Cell: 5.664 5.664 5.664 Å, 90.00 90.00 90.00°
Fractional coordinates of all 16 atoms:
Be: 0.000 0.000 0.000
Be: 0.000 0.500 0.500
Be: 0.500 0.000 0.500
Be: 0.500 0.500 0.000
Cu: 0.250 0.250 0.750
Cu: 0.250 0.750 0.250
Cu: 0.750 0.250 0.250
Cu: 0.750 0.750 0.750
Ni: 0.250 0.250 0.250
Ni: 0.250 0.750 0.750
Ni: 0.750 0.250 0.750
Ni: 0.750 0.750 0.250
Ge: 0.000 0.000 0.500
Ge: 0.000 0.500 0.000
Ge: 0.500 0.000 0.000
Ge: 0.500 0.500 0.500

spin magnetization	0.000	μB per cell
ΔE_f	-94	meV per atom
space-group type	F-43m